Entry 1:
A plane-wave DFT calculation with PBE was carried out for an optimized crystal structure of Tb2MgSc.

Lattice parameters (Å, degrees): 3.746 5.437 5.437 90.00 90.00 90.00
Element x y z (fractional)
1 Mg 0.500 0.500 0.500
2 Tb 0.000 0.500 0.000
3 Tb 0.000 0.000 0.500
4 Sc 0.500 0.000 0.000

Summary:
- E: -0.31446 Ry per atom
- Crystal system: tetragonal
- Energy relative to the elements: 0.07 eV/f.u.
- Relative energy among the computed polymorphs: 0.028 eV per atom
- Space group: P4/mmm

Entry 2:
A plane-wave DFT calculation with PBE was carried out for an optimized crystal structure of Pu6Ge2Ru.

Lattice parameters (Å, degrees): 4.934 8.522 8.657 90.00 89.29 90.00
Element x y z (fractional)
1 Pu 0.537 0.481 0.345
2 Pu 0.955 0.314 0.381
3 Pu 0.463 0.519 0.655
4 Pu 0.502 0.848 0.405
5 Pu 0.498 0.152 0.595
6 Pu 0.037 0.019 0.845
7 Pu 0.963 0.981 0.155
8 Pu 0.545 0.814 0.119
9 Pu 0.045 0.686 0.619
10 Pu 0.998 0.348 0.095
11 Pu 0.002 0.652 0.905
12 Pu 0.455 0.186 0.881
13 Ru 0.000 0.000 0.500
14 Ru 0.500 0.500 0.000
15 Ge 0.034 0.661 0.268
16 Ge 0.466 0.161 0.232
17 Ge 0.966 0.339 0.732
18 Ge 0.534 0.839 0.768

Summary:
- E: -0.86746 Ry per atom
- Crystal system: monoclinic
- Energy relative to the elements: -1.72 eV/f.u.
- Space group: P2_1/c

Entry 3:
A plane-wave DFT calculation with PBE was carried out for an optimized crystal structure of RbFeBr2.

Lattice parameters (Å, degrees): 9.698 9.698 9.698 24.17 24.17 24.17
Element x y z (fractional)
1 Fe 0.500 0.500 0.500
2 Br 0.882 0.882 0.882
3 Br 0.118 0.118 0.118
4 Rb 0.000 0.000 0.000

Summary:
- E: -0.26153 Ry per atom
- Crystal system: trigonal
- Relative energy among the computed polymorphs: 0.276 eV per atom
- Space group: R-3m

Entry 4:
A plane-wave DFT calculation with PBE was carried out for an optimized crystal structure of Cs3Pu2InBr9.

Lattice parameters (Å, degrees): 8.461 8.461 10.467 90.00 90.00 120.00
Element x y z (fractional)
1 Cs 0.000 0.000 0.000
2 Cs 0.667 0.333 0.363
3 Cs 0.333 0.667 0.637
4 In 0.000 0.000 0.500
5 Br 0.173 0.345 0.318
6 Br 0.500 0.500 0.000
7 Br 0.827 0.655 0.682
8 Br 0.173 0.827 0.318
9 Br 0.827 0.173 0.682
10 Br 0.500 0.000 0.000
11 Br 0.000 0.500 0.000
12 Br 0.345 0.173 0.682
13 Br 0.655 0.827 0.318
14 Pu 0.667 0.333 0.840
15 Pu 0.333 0.667 0.160

Summary:
- E: -0.35282 Ry per atom
- Crystal system: trigonal
- Space group: P-3m1

Entry 5:
A plane-wave DFT calculation with PBE was carried out for an optimized crystal structure of Ba8AgIrAu2.

Lattice parameters (Å, degrees): 7.864 7.636 9.668 90.00 90.00 89.98
Element x y z (fractional)
1 Au 0.500 0.500 0.245
2 Au 0.500 0.500 0.755
3 Ba 0.332 0.276 0.500
4 Ba 0.830 0.222 0.230
5 Ba 0.170 0.778 0.230
6 Ba 0.690 0.744 0.000
7 Ba 0.170 0.778 0.770
8 Ba 0.310 0.256 0.000
9 Ba 0.668 0.724 0.500
10 Ba 0.830 0.222 0.770
11 Ir 0.000 0.000 0.000
12 Ag 0.000 0.000 0.500

Summary:
- E: -0.23204 Ry per atom
- Crystal system: monoclinic
- Energy relative to the elements: -4.24 eV/f.u.
- Space group: P2/m

Entry 6:
A plane-wave DFT calculation with PBE was carried out for an optimized crystal structure of PmPu2Tl3Se6.

Lattice parameters (Å, degrees): 7.380 7.380 8.104 98.72 98.72 119.99
Element x y z (fractional)
1 Se 0.069 0.407 0.206
2 Se 0.931 0.593 0.794
3 Se 0.407 0.069 0.206
4 Se 0.593 0.931 0.794
5 Se 0.730 0.730 0.205
6 Se 0.270 0.270 0.795
7 Tl 0.166 0.834 0.500
8 Tl 0.834 0.166 0.500
9 Tl 0.500 0.500 0.500
10 Pu 0.667 0.333 0.000
11 Pu 0.333 0.667 0.000
12 Pm 0.000 0.000 0.000

Summary:
- E: -0.46389 Ry per atom
- Crystal system: monoclinic
- Space group: C2/m

Entry 7:
A plane-wave DFT calculation with PBE was carried out for an optimized crystal structure of BaTaTl2.

Lattice parameters (Å, degrees): 3.267 3.267 10.605 90.00 90.00 90.00
Element x y z (fractional)
1 Tl 0.000 0.000 0.978
2 Tl 0.500 0.500 0.221
3 Ta 0.500 0.500 0.780
4 Ba 0.000 0.000 0.521

Summary:
- E: -0.29667 Ry per atom
- Crystal system: tetragonal
- Energy relative to the elements: 2.36 eV/f.u.
- Space group: P4mm

Entry 8:
A plane-wave DFT calculation with PBE was carried out for an optimized crystal structure of NaPaIr4.

Lattice parameters (Å, degrees): 5.309 5.309 5.309 60.00 60.00 60.00
Element x y z (fractional)
1 Ir 0.127 0.624 0.624
2 Ir 0.624 0.624 0.127
3 Ir 0.624 0.127 0.624
4 Ir 0.624 0.624 0.624
5 Pa 0.000 0.000 0.000
6 Na 0.250 0.250 0.250

Summary:
- E: -0.59913 Ry per atom
- Crystal system: cubic
- Energy relative to the elements: -2.65 eV/f.u.
- Space group: F-43m

Entry 9:
A plane-wave DFT calculation with PBE was carried out for an optimized crystal structure of Pr3DyAg4.

Lattice parameters (Å, degrees): 3.725 3.725 15.156 90.00 90.00 90.00
Element x y z (fractional)
1 Pr 0.500 0.500 0.755
2 Pr 0.500 0.500 0.245
3 Pr 0.500 0.500 0.500
4 Ag 0.000 0.000 0.373
5 Ag 0.000 0.000 0.627
6 Ag 0.000 0.000 0.112
7 Ag 0.000 0.000 0.888
8 Dy 0.500 0.500 0.000

Summary:
- E: -0.29826 Ry per atom
- Crystal system: tetragonal
- Energy relative to the elements: -2.12 eV/f.u.
- Space group: P4/mmm

Entry 10:
A plane-wave DFT calculation with PBE was carried out for an optimized crystal structure of LaPm5Sm2.

Lattice parameters (Å, degrees): 6.499 12.266 15.009 92.28 77.49 74.64
Element x y z (fractional)
1 Pm 0.863 0.412 0.019
2 Pm 0.606 0.661 0.467
3 Pm 0.266 0.161 0.967
4 Pm 0.644 0.496 0.664
5 Pm 0.146 0.694 0.784
6 Pm 0.394 0.339 0.533
7 Pm 0.625 0.806 0.716
8 Pm 0.293 0.088 0.481
9 Pm 0.804 0.004 0.836
10 Pm 0.375 0.194 0.284
11 Pm 0.734 0.839 0.033
12 Pm 0.794 0.181 0.639
13 Pm 0.386 0.681 0.139
14 Pm 0.196 0.996 0.164
15 Pm 0.206 0.819 0.361
16 Pm 0.707 0.912 0.519
17 Pm 0.137 0.588 0.981
18 Pm 0.356 0.504 0.336
19 Pm 0.614 0.319 0.861
20 Pm 0.854 0.306 0.216
21 Sm 0.126 0.403 0.771
22 Sm 0.748 0.117 0.060
23 Sm 0.925 0.383 0.440
24 Sm 0.701 0.903 0.271
25 Sm 0.075 0.617 0.560
26 Sm 0.252 0.883 0.940
27 Sm 0.874 0.597 0.229
28 Sm 0.299 0.097 0.729
29 La 0.846 0.116 0.386
30 La 0.154 0.884 0.614
31 La 0.652 0.616 0.886
32 La 0.348 0.384 0.114

Summary:
- E: -0.34263 Ry per atom
- Crystal system: monoclinic
- Energy relative to the elements: 0.83 eV/f.u.
- Relative energy among the computed polymorphs: 0.087 eV per atom
- Space group: C2/c

Entry 11:
A plane-wave DFT calculation with PBE was carried out for an optimized crystal structure of K2ClF.

Lattice parameters (Å, degrees): 5.090 5.090 5.090 60.00 60.00 60.00
Element x y z (fractional)
1 Cl 0.500 0.500 0.500
2 K 0.250 0.250 0.250
3 K 0.750 0.750 0.750
4 F 0.000 0.000 0.000

Summary:
- E: -0.26849 Ry per atom
- Crystal system: cubic
- Relative energy among the computed polymorphs: 0.130 eV per atom
- Space group: Fm-3m

Entry 12:
A plane-wave DFT calculation with PBE was carried out for an optimized crystal structure of Sm4Er3Sn4.

Lattice parameters (Å, degrees): 3.543 9.566 10.745 116.43 99.49 90.00
Element x y z (fractional)
1 Er 0.091 0.091 0.182
2 Er 0.909 0.909 0.818
3 Er 0.000 0.500 0.000
4 Sn 0.725 0.225 0.449
5 Sn 0.500 0.220 0.000
6 Sn 0.275 0.775 0.551
7 Sn 0.500 0.780 0.000
8 Sm 0.337 0.159 0.674
9 Sm 0.663 0.841 0.326
10 Sm 0.663 0.485 0.326
11 Sm 0.337 0.515 0.674

Summary:
- E: -0.36412 Ry per atom
- Crystal system: orthorhombic
- Energy relative to the elements: -5.92 eV/f.u.
- Space group: Immm